#P
Computed, not measured: a crystal of Cu2SiSb relaxed with PBEsol at the meta-GGA SCAN level of DFT.

The structure in CIF format:
```
data_Cu2SiSb
_chemical_formula_sum 'Cu2 Si1 Sb1'
_cell_length_a 3.0117
_cell_length_b 3.0117
_cell_length_c 7.0652
_cell_angle_alpha 90.00
_cell_angle_beta 90.00
_cell_angle_gamma 90.00
_space_group_name_H-M_alt 'P 4 m m'
_space_group_IT_number 99
loop_
_space_group_symop_operation_xyz
'x,y,z'
'-y,x,z'
'-x,-y,z'
'y,-x,z'
'-x,y,z'
'y,x,z'
'x,-y,z'
'-y,-x,z'
loop_
_atom_site_label
_atom_site_fract_x
_atom_site_fract_y
_atom_site_fract_z
Cu1 0.0000 0.0000 0.0000
Cu2 0.5000 0.5000 0.1918
Si1 0.5000 0.5000 0.8237
Sb1 0.0000 0.0000 0.4548
```

**Total magnetization**: 0.00 μB per atom
**Density of states at the Fermi level**: 1.68 states/eV per cell
**Calculated volume**: 16.021 Å³ per atom

=====

#Q
Computed, not measured: a crystal of Cu2SiSb relaxed with PBEsol at the meta-GGA SCAN level of DFT.

The structure in CIF format:
```
data_Cu2SiSb
_chemical_formula_sum 'Cu8 Si4 Sb4'
_cell_length_a 6.3436
_cell_length_b 6.3436
_cell_length_c 6.3436
_cell_angle_alpha 90.00
_cell_angle_beta 90.00
_cell_angle_gamma 90.00
_space_group_name_H-M_alt 'F m -3 m'
_space_group_IT_number 225
_space_group_name_Hall '-F 4 2 3'
loop_
_atom_site_label
_atom_site_fract_x
_atom_site_fract_y
_atom_site_fract_z
Cu1 0.2500 0.2500 0.2500
Si1 0.0000 0.0000 0.0000
Sb1 0.0000 0.0000 0.5000
```

**Total magnetization**: 0.00 μB per atom
**Density of states at the Fermi level**: 6.61 states/eV per cell
**Calculated volume**: 15.955 Å³ per atom

=====

Relative stability in kJ/mol of atoms, measured from the most stable structure: #P 0.0; #Q 18.1